No. 1
Material: PPt2W
Method: DFT, PBE-GGA
State: optimized geometry

## Properties
Crystal system ... tetragonal
Raw total energy ... -7.300 eV/atom
Energy of formation from the pure elements ... 0.31 eV/atom

Lattice parameters (Å, degrees): 4.7340 4.7340 13.8334 90.00 90.00 90.00
Space group I-42d (No. 122)
One atom of each set of equivalent atoms:
P (0.0000, 0.0000, 0.0000) [4 per cell]
Pt (0.2020, 0.2500, 0.1250) [8 per cell]
W (0.0000, 0.0000, 0.5000) [4 per cell]



No. 2
Material: TiCoCuIr
Method: DFT, PBE-GGA
State: optimized geometry

## Properties
Crystal system ... cubic
Raw total energy ... -7.291 eV/atom
Energy of formation from the pure elements ... -0.30 eV/atom

Lattice parameters (Å, degrees): 5.9632 5.9632 5.9632 90.00 90.00 90.00
Space group F-43m (No. 216)
One atom of each set of equivalent atoms:
Ti (0.0000, 0.0000, 0.0000) [4 per cell]
Co (0.2500, 0.2500, 0.2500) [4 per cell]
Cu (0.0000, 0.0000, 0.5000) [4 per cell]
Ir (0.2500, 0.2500, 0.7500) [4 per cell]



No. 3
Material: K2PuTlBr8
Method: DFT, PBE-GGA
State: optimized geometry

## Properties
Energy relative to the elements, uncorrected ... -1241.0 meV/atom
Crystal system ... triclinic
Raw total energy ... -3.931 eV/atom

Lattice parameters (Å, degrees): 7.0525 7.1127 9.9737 90.01 90.03 96.28
Space group P-1 (No. 2)
One atom of each set of equivalent atoms:
K (0.0005, 0.0012, 0.2634) [2 per cell]
Pu (0.5000, 0.5000, 0.5000) [1 per cell]
Tl (0.5000, 0.5000, 0.0000) [1 per cell]
Br (0.1511, 0.2884, 0.5008) [2 per cell]
Br (0.1783, 0.2031, 0.9996) [2 per cell]
Br (0.3755, 0.7193, 0.2964) [2 per cell]
Br (0.3769, 0.7206, 0.7033) [2 per cell]